! BaSmGa2Pd2 | Alexandria via LeMat-Bulk | PBE-GGA | optimized geometry; values from VASP
&SYSTEM
  ibrav = 0, nat = 6, ntyp = 4
/
ATOMIC_SPECIES
Ba 137.33 Ba.upf
Pd 106.42 Pd.upf
Ga 69.72 Ga.upf
Sm 150.36 Sm.upf
CELL_PARAMETERS angstrom
4.565 0.000 0.000
-2.282 3.953 0.000
0.000 0.000 8.102
ATOMIC_POSITIONS angstrom
Ba 0.000 0.000 0.000
Pd 2.282 1.318 2.446
Pd 0.000 2.635 5.656
Ga 2.282 1.318 5.704
Ga 0.000 2.635 2.398
Sm 0.000 0.000 4.051
! DOS at the Fermi energy: 2.6 states/eV/cell
! ΔH_f (0 K): -16.87 kcal/mol of atoms
! M_tot: 0.00 Bohr magnetons per cell